VASP calculation (PBE-GGA) on an optimized crystal structure of Tm12Pb6C.

The space group is R-3 (No. 148, hexagonal axes) and the conventional cell measures 11.8116, 11.8116 and 13.6793 Å, with angles of 90.00, 90.00 and 120.00 degrees. The inequivalent atoms are Tm at (0.0281, 0.8439, 0.3878), Tm at (0.0293, 0.1787, 0.8951), Pb at (0.0025, 0.6209, 0.2481) and C at (0.0000, 0.0000, 0.0000).

Its formation energy is -0.348 eV/atom.



VASP calculation (PBE-GGA) on an optimized crystal structure of Y2TcPdN.

The space group is P4/mmm (No. 123) and the conventional cell measures 4.895, 4.895 and 3.859 Å, with angles of 90.00, 90.00 and 90.00 degrees. The inequivalent atoms are Y at (0.000, 0.500, 0.000), Tc at (0.000, 0.000, 0.500), Pd at (0.500, 0.500, 0.500) and N at (0.000, 0.000, 0.000).



VASP calculation (PBE-GGA) on an optimized crystal structure of BSCl3.

The space group is Pm-3m (No. 221) and the conventional cell measures 4.481, 4.481 and 4.481 Å, with angles of 90.00, 90.00 and 90.00 degrees. The inequivalent atoms are B at (0.000, 0.000, 0.000), S at (0.500, 0.500, 0.500) and Cl at (0.000, 0.000, 0.500).

Its energy above the most stable polymorph in this dataset is 137.81 kJ per mole of atoms.



VASP calculation (PBE-GGA) on an optimized crystal structure of TaAgW2.

The space group is Pmmm (No. 47) and the conventional cell measures 2.673, 4.460 and 5.729 Å, with angles of 90.00, 90.00 and 90.00 degrees. The inequivalent atoms are Ta at (0.000, 0.000, 0.000), Ag at (0.000, 0.000, 0.500) and W at (0.500, 0.500, 0.247).

Its formation energy is 0.491 eV/atom. Its energy above the most stable polymorph in this dataset is 26.12 kJ per mole of atoms.



VASP calculation (PBE-GGA) on an optimized crystal structure of PaAlRh.

The space group is F-43m (No. 216) and the conventional cell measures 6.425, 6.425 and 6.425 Å, with angles of 90.00, 90.00 and 90.00 degrees. The inequivalent atoms are Pa at (0.000, 0.000, 0.000), Al at (0.000, 0.000, 0.500) and Rh at (0.250, 0.250, 0.750).

Its formation energy is -0.474 eV/atom.



VASP calculation (PBE-GGA) on an optimized crystal structure of MnReAu.

The space group is Imm2 (No. 44) and the conventional cell measures 2.812, 3.709 and 8.638 Å, with angles of 90.00, 90.00 and 90.00 degrees. The inequivalent atoms are Mn at (0.000, 0.000, 0.000), Re at (0.000, 0.000, 0.633) and Au at (0.000, 0.000, 0.319).

Its formation energy is 0.340 eV/atom. Its energy above the most stable polymorph in this dataset is 4.48 kJ per mole of atoms.



VASP calculation (PBE-GGA) on an optimized crystal structure of CeSm2Ga2Cu2.

The space group is R-3m (No. 166, hexagonal axes) and the conventional cell measures 4.4282, 4.4282 and 27.9290 Å, with angles of 90.00, 90.00 and 120.00 degrees. The inequivalent atoms are Ce at (0.0000, 0.0000, 0.0000), Sm at (0.0000, 0.0000, 0.1239), Ga at (0.0000, 0.0000, 0.2657) and Cu at (0.0000, 0.0000, 0.3973).

Its formation energy is -0.353 eV/atom.



VASP calculation (PBE-GGA) on an optimized crystal structure of LaTbPr2S4.

The space group is P2/m (No. 10) and the conventional cell measures 7.072, 4.040 and 7.093 Å, with angles of 90.00, 109.06 and 90.00 degrees. The inequivalent atoms are La at (0.000, 0.000, 0.000), Tb at (0.000, 0.500, 0.500), Pr at (0.500, 0.000, 0.500), Pr at (0.500, 0.500, 0.000), S at (0.239, 0.000, 0.738) and S at (0.245, 0.500, 0.257).



VASP calculation (PBE-GGA) on an optimized crystal structure of Cs2KBi.

The space group is I-42d (No. 122) and the conventional cell measures 5.802, 5.802 and 26.558 Å, with angles of 90.00, 90.00 and 90.00 degrees. The inequivalent atoms are Cs at (0.241, 0.250, 0.125), K at (0.000, 0.000, 0.500) and Bi at (0.000, 0.000, 0.000).

Its formation energy is -0.082 eV/atom.



VASP calculation (PBE-GGA) on an optimized crystal structure of SmBiRh3.

The space group is Imma (No. 74) and the conventional cell measures 5.622, 7.713 and 9.199 Å, with angles of 90.00, 90.00 and 90.00 degrees. The inequivalent atoms are Sm at (0.000, 0.250, 0.016), Bi at (0.000, 0.000, 0.500), Rh at (0.000, 0.250, 0.711) and Rh at (0.250, 0.056, 0.250).

Its formation energy is -0.355 eV/atom.



VASP calculation (PBE-GGA) on an optimized crystal structure of NdZnSi2Pd5.

The space group is P4/mmm (No. 123) and the conventional cell measures 4.686, 4.686 and 7.135 Å, with angles of 90.00, 90.00 and 90.00 degrees. The inequivalent atoms are Nd at (0.000, 0.000, 0.000), Zn at (0.000, 0.000, 0.500), Si at (0.500, 0.500, 0.341), Pd at (0.000, 0.500, 0.275) and Pd at (0.500, 0.500, 0.000).



VASP calculation (PBE-GGA) on an optimized crystal structure of Er3ZnHg3.

The space group is Imm2 (No. 44) and the conventional cell measures 3.623, 4.744 and 19.722 Å, with angles of 90.00, 90.00 and 90.00 degrees. The inequivalent atoms are Er at (0.000, 0.000, 0.000), Er at (0.000, 0.000, 0.388), Er at (0.000, 0.500, 0.199), Zn at (0.000, 0.500, 0.765), Hg at (0.000, 0.000, 0.544), Hg at (0.000, 0.000, 0.840) and Hg at (0.000, 0.500, 0.633).

Its formation energy is -0.384 eV/atom.



| no. | M_tot (μB/f.u.) | calculated volume (Å³/atom) | E (eV per atom) |
| --- | --- | --- | --- |
| 1 | 0.000 | 28.996 | -4.83 |
| 2 | 0.000 | 18.495 | -8.19 |
| 3 | 2.478 | 17.993 | -2.51 |
| 4 | 0.000 | 17.076 | -9.66 |
| 5 | 0.000 | 22.103 | -7.34 |
| 6 | 1.414 | 15.014 | -7.96 |
| 7 | 0.666 | 22.585 | -4.58 |
| 8 | 0.000 | 23.942 | -6.50 |
| 9 | 0.000 | 55.875 | -1.75 |
| 10 | 0.000 | 19.945 | -6.49 |
| 11 | 0.000 | 17.410 | -5.32 |
| 12 | 0.000 | 24.214 | -2.65 |